This record from the Alexandria database describes NbCu3I after structural relaxation. The functional is PBE.

Results
Its density of states at the Fermi level is 4.2 states/eV/cell. The total magnetic moment comes out at 0.000 μB/atom. For the energy relative to the elements, uncorrected, the calculation gives 6.7 eV per formula unit. The calculated volume is 119 Å³ per cell. As for the space group: No. 221.

Cell lengths 4.9250, 4.9250, 4.9250 Å; angles 90.00, 90.00, 90.00 degrees
Element x y z (fractional)
1 Nb 0.0000 0.0000 0.0000
2 Cu 0.0000 0.0000 0.5000
3 Cu 0.0000 0.5000 0.0000
4 Cu 0.5000 0.0000 0.0000
5 I 0.5000 0.5000 0.5000